# 1
Entry from Alexandria: a relaxed RbVAgSe4 crystal (PBE).

Cell and atoms, written as POSCAR:
```
RbVAgSe4
1.0
6.018 0.000 -0.217
0.000 7.435 0.000
-2.587 0.000 9.671
Se Ag V Rb
8 2 2 2
direct
0.436 0.750 0.469
0.258 0.750 0.064
0.931 0.490 0.265
0.742 0.250 0.936
0.931 0.010 0.265
0.564 0.250 0.531
0.069 0.510 0.735
0.069 0.990 0.735
0.643 0.750 0.275
0.357 0.250 0.725
0.863 0.250 0.736
0.137 0.750 0.264
0.357 0.250 0.142
0.643 0.750 0.858
```

Computed properties:
**Total moment**: 0.000 μB per atom
**Formation energy without anion corrections**: -4.06 eV per formula unit

---

# 2
Entry from Alexandria: a relaxed Li2ScCl crystal (PBE).

Cell and atoms, written as POSCAR:
```
Li2ScCl
1.0
-1.530 1.834 -7.459
-6.819 -3.825 0.458
-5.356 1.204 -2.717
Li Sc Cl
4 2 2
direct
0.875 0.801 0.750
0.375 0.449 0.750
0.199 0.625 0.250
0.551 0.125 0.250
0.750 0.250 0.500
0.000 0.000 0.000
0.250 0.750 0.500
0.500 0.500 0.000
```

Computed properties:
**Energy relative to the lowest polymorph listed for this composition**: 249 meV per atom
**Total moment**: 0.000 μB per atom
**Formation energy without anion corrections**: -1.66 eV per formula unit

---

# 3
Entry from Alexandria: a relaxed Ca2C crystal (PBE).

Cell and atoms, written as POSCAR:
```
Ca2C
1.0
7.199 0.002 0.002
6.395 3.306 0.002
2.995 0.729 6.475
C Ca
2 4
direct
0.667 0.667 0.806
0.611 0.611 0.694
0.022 0.022 0.528
0.010 0.010 0.001
0.256 0.256 0.972
0.267 0.267 0.499
```

Computed properties:
**Energy relative to the lowest polymorph listed for this composition**: 17 meV per atom
**Formation enthalpy at 0 K**: 0.051 eV per atom
**Total moment**: 0.000 μB per atom

---

# 4
Entry from Alexandria: a relaxed KZnBi4 crystal (PBE).

Cell and atoms, written as POSCAR:
```
KZnBi4
1.0
6.697 0.000 0.000
3.349 5.800 0.000
3.349 1.933 5.468
Bi K Zn
4 1 1
direct
0.628 0.628 0.115
0.115 0.628 0.628
0.628 0.628 0.628
0.628 0.115 0.628
0.250 0.250 0.250
0.000 0.000 0.000
```

Computed properties:
**Formation enthalpy at 0 K**: 0.052 eV per atom
**Total moment**: 0.000 μB per atom

---

# 5
Entry from Alexandria: a relaxed SmHgS2O8 crystal (PBE).

Cell and atoms, written as POSCAR:
```
SmHgS2O8
1.0
5.422 -0.037 -0.355
2.469 4.828 -0.355
-0.198 -0.120 8.343
O S Hg Sm
8 2 1 1
direct
0.790 0.363 0.189
0.210 0.637 0.811
0.216 0.216 0.890
0.784 0.784 0.110
0.732 0.732 0.393
0.268 0.268 0.607
0.363 0.790 0.189
0.637 0.210 0.811
0.669 0.669 0.224
0.331 0.331 0.776
0.000 0.000 0.500
0.000 0.000 0.000
```

Computed properties:
**Total moment**: 0.086 μB per atom
**Formation energy without anion corrections**: -20.23 eV per formula unit

---

# 6
Entry from Alexandria: a relaxed FeRhN3 crystal (PBE).

Cell and atoms, written as POSCAR:
```
FeRhN3
1.0
3.805 0.000 0.000
0.000 3.805 0.000
0.000 0.000 3.805
N Rh Fe
3 1 1
direct
0.500 0.000 0.000
0.000 0.000 0.500
0.000 0.500 0.000
0.000 0.000 0.000
0.500 0.500 0.500
```

Computed properties:
**Total moment**: 0.001 μB per atom
**Formation energy without anion corrections**: 10.19 eV per formula unit

---

# 7
Entry from Alexandria: a relaxed CsAgCl crystal (PBE).

Cell and atoms, written as POSCAR:
```
CsAgCl
1.0
5.465 0.000 0.000
0.000 4.291 0.000
-4.097 0.000 19.241
Cs Ag Cl
4 4 4
direct
0.180 0.500 0.408
0.180 0.000 0.908
0.820 0.000 0.092
0.820 0.500 0.592
0.560 0.000 0.293
0.560 0.500 0.793
0.440 0.000 0.707
0.440 0.500 0.207
0.700 0.000 0.431
0.300 0.500 0.069
0.700 0.500 0.931
0.300 0.000 0.569
```

Computed properties:
**Energy relative to the lowest polymorph listed for this composition**: 22 meV per atom
**Total moment**: 0.000 μB per atom
**Formation energy without anion corrections**: -2.81 eV per formula unit

---

# 8
Entry from Alexandria: a relaxed Nd6TlPd crystal (PBE).

Cell and atoms, written as POSCAR:
```
Nd6TlPd
1.0
6.810 0.132 -0.161
-2.411 6.370 -0.161
-0.978 -1.446 6.418
Nd Tl Pd
6 1 1
direct
0.870 0.482 0.758
0.130 0.518 0.242
0.482 0.870 0.758
0.775 0.775 0.326
0.225 0.225 0.674
0.518 0.130 0.242
0.000 0.000 0.000
0.500 0.500 0.500
```

Computed properties:
**Formation enthalpy at 0 K**: -0.040 eV per atom
**Total moment**: 0.000 μB per atom

---

# 9
Entry from Alexandria: a relaxed HgSb2Pt crystal (PBE).

Cell and atoms, written as POSCAR:
```
HgSb2Pt
1.0
4.906 0.054 0.000
-1.360 4.714 0.000
0.000 0.000 3.934
Pt Sb Hg
1 2 1
direct
0.000 0.500 0.500
0.500 0.500 0.000
0.000 0.000 0.000
0.500 0.000 0.500
```

Computed properties:
**Total moment**: 0.000 μB per atom
**Formation energy without anion corrections**: 0.68 eV per formula unit

---

# 10
Entry from Alexandria: a relaxed Ba3TlIn2 crystal (PBE).

Cell and atoms, written as POSCAR:
```
Ba3TlIn2
1.0
-3.068 2.680 1.332
-2.694 -3.304 0.442
3.918 -1.566 12.175
Ba In Tl
3 2 1
direct
0.000 0.000 0.331
0.000 0.000 0.669
0.000 0.000 0.000
0.500 0.500 0.834
0.500 0.500 0.166
0.500 0.500 0.500
```

Computed properties:
**Energy relative to the lowest polymorph listed for this composition**: 0 meV per atom
**Formation enthalpy at 0 K**: -0.396 eV per atom
**Total moment**: 0.000 μB per atom

---

# 11
Entry from Alexandria: a relaxed La2NiAg2 crystal (PBE).

Cell and atoms, written as POSCAR:
```
La2NiAg2
1.0
-4.039 -2.923 -3.455
-1.807 -5.602 -1.466
-9.802 -3.645 6.090
Ni Ag La
2 4 4
direct
0.286 0.286 0.801
0.714 0.714 0.199
0.632 0.632 0.917
0.476 0.476 0.387
0.368 0.368 0.083
0.524 0.524 0.613
0.941 0.941 0.855
0.059 0.059 0.145
0.800 0.800 0.623
0.200 0.200 0.377
```

Computed properties:
**Energy relative to the lowest polymorph listed for this composition**: 0 meV per atom
**Formation enthalpy at 0 K**: -0.275 eV per atom
**Total moment**: 0.000 μB per atom

---

# 12
Entry from Alexandria: a relaxed TcAsBr crystal (PBE).

Cell and atoms, written as POSCAR:
```
TcAsBr
1.0
-2.751 -1.903 2.794
1.303 -0.921 4.056
-1.596 2.260 3.368
As Br Tc
1 1 1
direct
0.000 0.000 0.000
0.500 0.500 0.500
0.750 0.750 0.750
```

Computed properties:
**Energy relative to the lowest polymorph listed for this composition**: 223 meV per atom
**Total moment**: 0.195 μB per atom
**Formation energy without anion corrections**: 1.11 eV per formula unit